Record 1
Computed, not measured: a relaxed structure of Tb2ZrTe5 at the GGA-PBE level of DFT.

a = 7.7860 Å, b = 7.7860 Å, c = 14.2589 Å
α = 90.00°, β = 90.00°, γ = 134.63°
Closest atoms and distances in Å follow each position.
Fractional coordinates of all 16 atoms:
Tb  0.1564  0.8436  0.5583  6 Te 3.03-3.16
Tb  0.1564  0.8436  0.9417  6 Te 3.03-3.16
Tb  0.8436  0.1564  0.0583  6 Te 3.03-3.16
Tb  0.8436  0.1564  0.4417  6 Te 3.03-3.16
Zr  0.1952  0.8048  0.2500  6 Te 2.81-3.05
Zr  0.8048  0.1952  0.7500  6 Te 2.81-3.05
Te  0.0463  0.9537  0.1226  1 Zr 2.81, 2 Tb 3.03-3.05
Te  0.0463  0.9537  0.3774  1 Zr 2.81, 2 Tb 3.03-3.05
Te  0.2667  0.7333  0.7500  2 Zr 3.05, 2 Tb 3.16
Te  0.3243  0.6757  0.0828  1 Zr 3.02, 3 Tb 3.04-3.14
Te  0.3243  0.6757  0.4172  1 Zr 3.02, 3 Tb 3.04-3.14
Te  0.6757  0.3243  0.5828  1 Zr 3.02, 3 Tb 3.04-3.14
Te  0.6757  0.3243  0.9172  1 Zr 3.02, 3 Tb 3.04-3.14
Te  0.7333  0.2667  0.2500  2 Zr 3.05, 2 Tb 3.16
Te  0.9537  0.0463  0.6226  1 Zr 2.81, 2 Tb 3.03-3.05
Te  0.9537  0.0463  0.8774  1 Zr 2.81, 2 Tb 3.03-3.05

Output
Formation energy from raw total energies, eV/atom: -1.085



Record 2
Computed, not measured: a relaxed structure of Na2TlGe2Pd5 at the GGA-PBE level of DFT.

a = 10.1736 Å, b = 10.1736 Å, c = 3.5346 Å
α = 90.00°, β = 90.00°, γ = 90.00°
Closest atoms and distances in Å follow each position.
Fractional coordinates of all 20 atoms:
Na  0.1742  0.3258  0.0000  3 Ge 2.89-3.09, 6 Pd 3.07-3.20
Na  0.3258  0.8258  0.0000  3 Ge 2.89-3.09, 6 Pd 3.07-3.20
Na  0.6742  0.1742  0.0000  3 Ge 2.89-3.09, 6 Pd 3.07-3.20
Na  0.8258  0.6742  0.0000  3 Ge 2.89-3.09, 6 Pd 3.07-3.20
Tl  0.0000  0.0000  0.0000  8 Pd 2.86
Tl  0.5000  0.5000  0.0000  8 Pd 2.86
Ge  0.1250  0.6250  0.0000  6 Pd 2.50-2.52
Ge  0.3750  0.1250  0.0000  6 Pd 2.50-2.52
Ge  0.6250  0.8750  0.0000  6 Pd 2.50-2.52
Ge  0.8750  0.3750  0.0000  6 Pd 2.50-2.52
Pd  0.0000  0.5000  0.5000  4 Ge 2.52
Pd  0.0663  0.7892  0.5000  2 Ge 2.50
Pd  0.2108  0.0663  0.5000  2 Ge 2.50
Pd  0.2892  0.5663  0.5000  2 Ge 2.50
Pd  0.4337  0.2892  0.5000  2 Ge 2.50
Pd  0.5000  0.0000  0.5000  4 Ge 2.52
Pd  0.5663  0.7108  0.5000  2 Ge 2.50
Pd  0.7108  0.4337  0.5000  2 Ge 2.50
Pd  0.7892  0.9337  0.5000  2 Ge 2.50
Pd  0.9337  0.2108  0.5000  2 Ge 2.50

Output
Energy of formation, meV per atom: -359



Record 3
Computed, not measured: a relaxed structure of Li2In3Hg2 at the GGA-PBE level of DFT.

a = 3.2260 Å, b = 30.8064 Å, c = 3.1947 Å
α = 90.00°, β = 90.00°, γ = 90.00°
Closest atoms and distances in Å follow each position.
Fractional coordinates of all 14 atoms:
Li  0.0000  0.1493  0.0000  4 Hg 2.88, 4 In 3.04, 2 Li 3.19
Li  0.0000  0.8507  0.0000  4 Hg 2.88, 4 In 3.04, 2 Li 3.19
Li  0.5000  0.3507  0.0000  4 Hg 2.88, 4 In 3.04, 2 Li 3.19
Li  0.5000  0.6493  0.0000  4 Hg 2.88, 4 In 3.04, 2 Li 3.19
In  0.0000  0.0000  0.0000  12 In 3.19-3.43
In  0.0000  0.4165  0.5000  4 Li 3.04, 4 In 3.19-3.23
In  0.0000  0.5835  0.5000  4 Li 3.04, 4 In 3.19-3.23
In  0.5000  0.0835  0.5000  4 Li 3.04, 4 In 3.19-3.23
In  0.5000  0.5000  0.0000  12 In 3.19-3.43
In  0.5000  0.9165  0.5000  4 Li 3.04, 4 In 3.19-3.23
Hg  0.0000  0.2934  0.5000  4 Li 2.88, 4 Hg 3.12-3.19
Hg  0.0000  0.7066  0.5000  4 Li 2.88, 4 Hg 3.12-3.19
Hg  0.5000  0.2066  0.5000  4 Li 2.88, 4 Hg 3.12-3.19
Hg  0.5000  0.7934  0.5000  4 Li 2.88, 4 Hg 3.12-3.19

Output
Energy of formation, meV per atom: -172



Record 4
Computed, not measured: a relaxed structure of AcSmHo2P4 at the GGA-PBE level of DFT.

a = 7.1655 Å, b = 4.1370 Å, c = 7.1700 Å
α = 90.00°, β = 109.40°, γ = 90.00°
Closest atoms and distances in Å follow each position.
Fractional coordinates of all 8 atoms:
Ac  0.0000  0.0000  0.0000  6 P 3.02-3.03
Sm  0.0000  0.5000  0.5000  6 P 2.96
Ho  0.5000  0.0000  0.5000  6 P 2.83
Ho  0.5000  0.5000  0.0000  6 P 2.90
P  0.2629  0.0000  0.7468  3 Ho 2.83-2.90, 2 Sm 2.96, 1 Ac 3.02
P  0.2692  0.5000  0.2643  3 Ho 2.83-2.90, 1 Sm 2.96, 2 Ac 3.03
P  0.7308  0.5000  0.7357  3 Ho 2.83-2.90, 1 Sm 2.96, 2 Ac 3.03
P  0.7371  0.0000  0.2532  3 Ho 2.83-2.90, 2 Sm 2.96, 1 Ac 3.02

Output
Energy of formation, meV per atom: -1519



Record 5
Computed, not measured: a relaxed structure of Li2Mg2SnHg2 at the GGA-PBE level of DFT.

a = 7.5577 Å, b = 7.5577 Å, c = 7.5577 Å
α = 38.17°, β = 38.17°, γ = 38.17°
Closest atoms and distances in Å follow each position.
Fractional coordinates of all 7 atoms:
Li  0.0648  0.0648  0.0648  1 Li 2.72, 3 Hg 3.01
Li  0.9352  0.9352  0.9352  1 Li 2.72, 3 Hg 3.01
Mg  0.2144  0.2144  0.2144  1 Hg 2.89, 3 Sn 3.02, 4 Li 3.07-3.14
Mg  0.7856  0.7856  0.7856  1 Hg 2.89, 3 Sn 3.02, 4 Li 3.07-3.14
Sn  0.5000  0.5000  0.5000  6 Mg 3.02, 2 Hg 3.11
Hg  0.3519  0.3519  0.3519  1 Mg 2.89, 3 Hg 2.96, 3 Li 3.01, 1 Sn 3.11
Hg  0.6481  0.6481  0.6481  1 Mg 2.89, 3 Hg 2.96, 3 Li 3.01, 1 Sn 3.11

Output
Energy of formation, meV per atom: -201



Record 6
Computed, not measured: a relaxed structure of ScMoAu2 at the GGA-PBE level of DFT.

a = 6.6642 Å, b = 6.6642 Å, c = 6.6642 Å
α = 90.00°, β = 90.00°, γ = 90.00°
Closest atoms and distances in Å follow each position.
Fractional coordinates of all 16 atoms:
Sc  0.0000  0.0000  0.0000  8 Au 2.89
Sc  0.0000  0.5000  0.5000  8 Au 2.89
Sc  0.5000  0.0000  0.5000  8 Au 2.89
Sc  0.5000  0.5000  0.0000  8 Au 2.89
Mo  0.0000  0.0000  0.5000  8 Au 2.89
Mo  0.0000  0.5000  0.0000  8 Au 2.89
Mo  0.5000  0.0000  0.0000  8 Au 2.89
Mo  0.5000  0.5000  0.5000  8 Au 2.89
Au  0.2500  0.2500  0.2500  4 Mo 2.89, 4 Sc 2.89
Au  0.2500  0.2500  0.7500  4 Mo 2.89, 4 Sc 2.89
Au  0.2500  0.7500  0.2500  4 Mo 2.89, 4 Sc 2.89
Au  0.2500  0.7500  0.7500  4 Mo 2.89, 4 Sc 2.89
Au  0.7500  0.2500  0.2500  4 Mo 2.89, 4 Sc 2.89
Au  0.7500  0.2500  0.7500  4 Mo 2.89, 4 Sc 2.89
Au  0.7500  0.7500  0.2500  4 Mo 2.89, 4 Sc 2.89
Au  0.7500  0.7500  0.7500  4 Mo 2.89, 4 Sc 2.89

Output
Energy of formation, meV per atom: -58



Record 7
Computed, not measured: a relaxed structure of LiTbDy2Hg4 at the GGA-PBE level of DFT.

a = 9.0490 Å, b = 9.0490 Å, c = 9.0490 Å
α = 33.03°, β = 33.03°, γ = 33.03°
Closest atoms and distances in Å follow each position.
Fractional coordinates of all 8 atoms:
Li  0.0000  0.0000  0.0000  8 Hg 3.12-3.15
Tb  0.5000  0.5000  0.5000  8 Hg 3.19-3.22
Dy  0.2549  0.2549  0.2549  8 Hg 3.06-3.42
Dy  0.7451  0.7451  0.7451  8 Hg 3.06-3.42
Hg  0.1217  0.1217  0.1217  1 Li 3.12, 4 Dy 3.17-3.42, 3 Tb 3.19
Hg  0.3743  0.3743  0.3743  4 Dy 3.06-3.12, 3 Li 3.15, 1 Tb 3.22
Hg  0.6257  0.6257  0.6257  4 Dy 3.06-3.12, 3 Li 3.15, 1 Tb 3.22
Hg  0.8783  0.8783  0.8783  1 Li 3.12, 4 Dy 3.17-3.42, 3 Tb 3.19

Output
Energy of formation, meV per atom: -454



Record 8
Computed, not measured: a relaxed structure of MgTaOF2 at the GGA-PBE level of DFT.

a = 4.3843 Å, b = 4.3843 Å, c = 3.9402 Å
α = 90.00°, β = 90.00°, γ = 90.00°
Closest atoms and distances in Å follow each position.
Fractional coordinates of all 5 atoms:
Mg  0.0000  0.0000  0.0000  8 F 2.95, 4 O 3.10
Ta  0.5000  0.5000  0.5000  2 O 1.97, 4 F 2.19
O  0.5000  0.5000  0.0000  2 Ta 1.97
F  0.0000  0.5000  0.5000  2 Ta 2.19
F  0.5000  0.0000  0.5000  2 Ta 2.19

Output
Formation energy from raw total energies, eV/atom: -1.762



Repeat the first record exactly.
Computed, not measured: a relaxed structure of Tb2ZrTe5 at the GGA-PBE level of DFT.

a = 7.7860 Å, b = 7.7860 Å, c = 14.2589 Å
α = 90.00°, β = 90.00°, γ = 134.63°
Closest atoms and distances in Å follow each position.
Fractional coordinates of all 16 atoms:
Tb  0.1564  0.8436  0.5583  6 Te 3.03-3.16
Tb  0.1564  0.8436  0.9417  6 Te 3.03-3.16
Tb  0.8436  0.1564  0.0583  6 Te 3.03-3.16
Tb  0.8436  0.1564  0.4417  6 Te 3.03-3.16
Zr  0.1952  0.8048  0.2500  6 Te 2.81-3.05
Zr  0.8048  0.1952  0.7500  6 Te 2.81-3.05
Te  0.0463  0.9537  0.1226  1 Zr 2.81, 2 Tb 3.03-3.05
Te  0.0463  0.9537  0.3774  1 Zr 2.81, 2 Tb 3.03-3.05
Te  0.2667  0.7333  0.7500  2 Zr 3.05, 2 Tb 3.16
Te  0.3243  0.6757  0.0828  1 Zr 3.02, 3 Tb 3.04-3.14
Te  0.3243  0.6757  0.4172  1 Zr 3.02, 3 Tb 3.04-3.14
Te  0.6757  0.3243  0.5828  1 Zr 3.02, 3 Tb 3.04-3.14
Te  0.6757  0.3243  0.9172  1 Zr 3.02, 3 Tb 3.04-3.14
Te  0.7333  0.2667  0.2500  2 Zr 3.05, 2 Tb 3.16
Te  0.9537  0.0463  0.6226  1 Zr 2.81, 2 Tb 3.03-3.05
Te  0.9537  0.0463  0.8774  1 Zr 2.81, 2 Tb 3.03-3.05

Output
Formation energy from raw total energies, eV/atom: -1.085